## SrBiAu6 (PBE)

Data for crystalline SrBiAu6 at its relaxed geometry.

Results
E_form = -175 meV per atom
DFT total energy = -3.328 eV per atom
crystal system = cubic
SG = Pm-3, No. 200

a = 5.6104 Å, b = 5.6104 Å, c = 5.6104 Å
α = 90.00°, β = 90.00°, γ = 90.00°
Fractional positions:
1 Au 0.0000 0.5000 0.2494
2 Au 0.2494 0.0000 0.5000
3 Bi 0.0000 0.0000 0.0000
4 Au 0.0000 0.5000 0.7506
5 Au 0.5000 0.7506 0.0000
6 Au 0.5000 0.2494 0.0000
7 Au 0.7506 0.0000 0.5000
8 Sr 0.5000 0.5000 0.5000